Entry 1:
## YGa2Pt (GGA-PBE)

Data for an optimized crystal structure of YGa2Pt.

Total DFT energy (no corrections) = -5.49 eV per atom
N(E_F) = 0.49 states/eV per atom
ΔE_f = -0.8503 eV per atom
Calculated density = 9.18 g cm⁻³
Magnetic moment = 0.000 μB/f.u.

Cell: 8.128 6.786 5.555 Å, 90.00 90.00 90.00°
Space group Pnma (No. 62)
Unique sites:
Y: 0.042 0.250 0.127 (multiplicity 4)
Ga: 0.185 0.053 0.620 (multiplicity 8)
Pt: 0.092 0.750 0.367 (multiplicity 4)

---

Entry 2:
## YGa5Pt7 (GGA-PBE)

Data for an optimized crystal structure of YGa5Pt7.

Total DFT energy (no corrections) = -5.56 eV per atom
N(E_F) = 0.32 states/eV per atom
ΔE_f = -0.6433 eV per atom
Calculated density = 14.02 g cm⁻³
Magnetic moment = 0.000 μB/f.u.

Cell: 5.379 9.062 8.764 Å, 90.00 90.00 90.00°
Space group Imm2 (No. 44)
Unique sites:
Y: 0.000 0.000 0.000 (multiplicity 2)
Ga: 0.000 0.500 0.266 (multiplicity 2)
Ga: 0.245 0.259 0.737 (multiplicity 8)
Pt: 0.000 0.000 0.339 (multiplicity 2)
Pt: 0.000 0.000 0.669 (multiplicity 2)
Pt: 0.000 0.295 0.474 (multiplicity 4)
Pt: 0.000 0.338 0.006 (multiplicity 4)
Pt: 0.000 0.500 0.719 (multiplicity 2)

---

Entry 3:
## YGa3Pt2 (GGA-PBE)

Data for an optimized crystal structure of YGa3Pt2.

Total DFT energy (no corrections) = -5.21 eV per atom
N(E_F) = 0.51 states/eV per atom
ΔE_f = -0.6082 eV per atom
Calculated density = 10.49 g cm⁻³
Magnetic moment = 0.000 μB/f.u.

Cell: 5.9495 5.9495 21.3193 Å, 90.00 90.00 120.00°
Space group R-3m (No. 166, hexagonal axes)
Unique sites:
Y: 0.0000 0.0000 0.2108 (multiplicity 6)
Ga: 0.0070 0.5035 0.2387 (multiplicity 18)
Pt: 0.0000 0.0000 0.0000 (multiplicity 3)
Pt: 0.0000 0.5000 0.0000 (multiplicity 9)

---

Entry 4:
## YGa4Pt2 (GGA-PBE)

Data for an optimized crystal structure of YGa4Pt2.

Total DFT energy (no corrections) = -5.19 eV per atom
N(E_F) = 0.44 states/eV per atom
ΔE_f = -0.8153 eV per atom
Calculated density = 10.10 g cm⁻³
Magnetic moment = 0.000 μB/f.u.

Cell: 17.375 4.293 6.681 Å, 90.00 90.00 90.00°
Space group Pnma (No. 62)
Unique sites:
Y: 0.141 0.250 0.013 (multiplicity 4)
Ga: 0.037 0.750 0.851 (multiplicity 4)
Ga: 0.069 0.250 0.485 (multiplicity 4)
Ga: 0.184 0.750 0.319 (multiplicity 4)
Ga: 0.189 0.750 0.730 (multiplicity 4)
Pt: 0.037 0.750 0.249 (multiplicity 4)
Pt: 0.216 0.250 0.528 (multiplicity 4)

---

Entry 5:
## YGa3Pt3 (GGA-PBE)

Data for an optimized crystal structure of YGa3Pt3.

Total DFT energy (no corrections) = -5.18 eV per atom
N(E_F) = 0.69 states/eV per atom
ΔE_f = -0.3742 eV per atom
Calculated density = 9.23 g cm⁻³
Polymorph energy (0 for the lowest one) = 0.438 eV/atom
Magnetic moment = 0.000 μB/f.u.

Cell: 6.826 6.826 6.826 Å, 90.00 90.00 90.00°
Space group Pm-3n (No. 223)
Unique sites:
Y: 0.000 0.000 0.000 (multiplicity 2)
Ga: 0.000 0.250 0.500 (multiplicity 6)
Pt: 0.000 0.500 0.250 (multiplicity 6)

---

Entry 6:
## Y3Ga4Pt7 (GGA-PBE)

Data for an optimized crystal structure of Y3Ga4Pt7.

Total DFT energy (no corrections) = -6.28 eV per atom
N(E_F) = 0.31 states/eV per atom
ΔE_f = -1.0118 eV per atom
Calculated density = 12.54 g cm⁻³
Magnetic moment = 0.000 μB/f.u.

Cell: 15.545 4.111 9.662 Å, 90.00 124.95 90.00°
Space group C2/m (No. 12)
Unique sites:
Y: 0.000 0.000 0.000 (multiplicity 2)
Y: 0.174 0.500 0.669 (multiplicity 4)
Ga: 0.115 0.000 0.837 (multiplicity 4)
Ga: 0.164 0.500 0.271 (multiplicity 4)
Pt: 0.000 0.000 0.500 (multiplicity 2)
Pt: 0.006 0.500 0.286 (multiplicity 4)
Pt: 0.162 0.000 0.426 (multiplicity 4)
Pt: 0.190 0.500 0.042 (multiplicity 4)

---

Entry 7:
## Y2Ga3Pt2 (GGA-PBE)

Data for an optimized crystal structure of Y2Ga3Pt2.

Total DFT energy (no corrections) = -5.81 eV per atom
N(E_F) = 0.69 states/eV per atom
ΔE_f = -0.9355 eV per atom
Calculated density = 9.54 g cm⁻³
Magnetic moment = 0.000 μB/f.u.

Cell: 10.108 4.346 6.710 Å, 90.00 113.35 90.00°
Space group C2/m (No. 12)
Unique sites:
Y: 0.152 0.000 0.274 (multiplicity 4)
Ga: 0.000 0.500 0.500 (multiplicity 2)
Ga: 0.115 0.500 0.941 (multiplicity 4)
Pt: 0.140 0.000 0.718 (multiplicity 4)

---

Entry 8:
## Y2Ga3Pt5 (GGA-PBE)

Data for an optimized crystal structure of Y2Ga3Pt5.

Total DFT energy (no corrections) = -6.16 eV per atom
N(E_F) = 0.36 states/eV per atom
ΔE_f = -0.9411 eV per atom
Calculated density = 12.15 g cm⁻³
Polymorph energy (0 for the lowest one) = 0.016 eV/atom
Magnetic moment = 0.000 μB/f.u.

Cell: 11.289 11.555 5.710 Å, 90.00 90.00 90.00°
Space group Ibam (No. 72)
Unique sites:
Y: 0.226 0.137 0.000 (multiplicity 8)
Ga: 0.000 0.500 0.250 (multiplicity 4)
Ga: 0.117 0.138 0.500 (multiplicity 8)
Pt: 0.000 0.000 0.250 (multiplicity 4)
Pt: 0.000 0.274 0.250 (multiplicity 8)
Pt: 0.171 0.403 0.000 (multiplicity 8)

---

Entry 9:
## Y2GaPt (GGA-PBE)

Data for an optimized crystal structure of Y2GaPt.

Total DFT energy (no corrections) = -5.99 eV per atom
N(E_F) = 0.95 states/eV per atom
ΔE_f = -0.4870 eV per atom
Calculated density = 7.21 g cm⁻³
Magnetic moment = 0.000 μB/f.u.

Cell: 7.725 7.725 6.832 Å, 90.00 90.00 90.00°
Space group I-42d (No. 122)
Unique sites:
Y: 0.226 0.250 0.125 (multiplicity 8)
Ga: 0.000 0.000 0.500 (multiplicity 4)
Pt: 0.000 0.000 0.000 (multiplicity 4)

---

Entry 10:
## Y4Ga16Pt3 (GGA-PBE)

Data for an optimized crystal structure of Y4Ga16Pt3.

Total DFT energy (no corrections) = -4.65 eV per atom
N(E_F) = 0.17 states/eV per atom
ΔE_f = -0.6301 eV per atom
Calculated density = 7.92 g cm⁻³
Magnetic moment = 0.000 μB/f.u.

Cell: 6.234 6.234 11.088 Å, 90.00 90.00 90.00°
Space group P4/mmm (No. 123)
Unique sites:
Y: 0.000 0.500 0.191 (multiplicity 4)
Ga: 0.000 0.000 0.202 (multiplicity 2)
Ga: 0.209 0.209 0.000 (multiplicity 4)
Ga: 0.247 0.247 0.375 (multiplicity 8)
Ga: 0.500 0.500 0.231 (multiplicity 2)
Pt: 0.000 0.500 0.500 (multiplicity 2)
Pt: 0.500 0.500 0.000 (multiplicity 1)

---

Entry 11:
## YGa4Pt4 (GGA-PBE)

Data for an optimized crystal structure of YGa4Pt4.

Total DFT energy (no corrections) = -5.39 eV per atom
N(E_F) = 0.46 states/eV per atom
ΔE_f = -0.6460 eV per atom
Calculated density = 10.70 g cm⁻³
Magnetic moment = 0.000 μB/f.u.

Cell: 8.556 8.556 4.868 Å, 90.00 90.00 90.00°
Space group I4/m (No. 87)
Unique sites:
Y: 0.000 0.000 0.000 (multiplicity 2)
Ga: 0.103 0.620 0.500 (multiplicity 8)
Pt: 0.167 0.699 0.000 (multiplicity 8)

---

Entry 12:
## YGa4Pt (GGA-PBE)

Data for an optimized crystal structure of YGa4Pt.

Total DFT energy (no corrections) = -4.68 eV per atom
N(E_F) = 0.24 states/eV per atom
ΔE_f = -0.5829 eV per atom
Calculated density = 8.30 g cm⁻³
Magnetic moment = 0.000 μB/f.u.

Cell: 4.322 6.766 7.764 Å, 93.21 94.92 93.70°
Space group P-1 (No. 2)
Unique sites:
Y: 0.017 0.326 0.177 (multiplicity 2)
Ga: 0.034 0.859 0.185 (multiplicity 2)
Ga: 0.244 0.388 0.557 (multiplicity 2)
Ga: 0.480 0.358 0.883 (multiplicity 2)
Ga: 0.490 0.889 0.648 (multiplicity 2)
Pt: 0.000 0.000 0.500 (multiplicity 1)
Pt: 0.500 0.000 0.000 (multiplicity 1)